# 1
# CdRuCl2

A relaxed structure of CdRuCl2 (PBE, the Alexandria database).

CIF file:
```
data_CdRuCl2
_space_group_name_H-M_alt 'P 1 m 1'
_space_group_IT_number 6
_cell_length_a 4.417
_cell_length_b 3.164
_cell_length_c 7.302
_cell_angle_alpha 90.00
_cell_angle_beta 107.24
_cell_angle_gamma 90.00
loop_
_space_group_symop_operation_xyz
'x,y,z'
'x,-y,z'
loop_
_atom_site_label
_atom_site_fract_x
_atom_site_fract_y
_atom_site_fract_z
Cd1 0.000 0.000 0.000
Ru1 0.548 0.500 0.099
Cl1 0.378 0.500 0.761
Cl2 0.669 0.000 0.344
```

Properties
Its uncorrected formation energy is -0.8 eV per formula unit. The calculation puts the polymorph energy (0 for the lowest one) at 0 kJ/mol of formula units. For the density of states at the Fermi level, the calculation gives 0.25 states/eV/atom. The calculation puts the total magnetic moment at 0.0 μB per formula unit. As for the total energy: -3.666 eV/atom. The crystal system is monoclinic.

=====

# 2
# CsK3Te

A relaxed structure of CsK3Te (PBE, the Alexandria database).

CIF file:
```
data_CsK3Te
_space_group_name_H-M_alt 'P m -3 m'
_space_group_IT_number 221
_space_group_name_Hall '-P 4 2 3'
_cell_length_a 6.937
_cell_length_b 6.937
_cell_length_c 6.937
_cell_angle_alpha 90.00
_cell_angle_beta 90.00
_cell_angle_gamma 90.00
loop_
_atom_site_label
_atom_site_fract_x
_atom_site_fract_y
_atom_site_fract_z
Cs1 0.000 0.000 0.000
K1 0.000 0.500 0.500
Te1 0.500 0.500 0.500
```

Properties
Its uncorrected formation energy is -2.5 eV per formula unit. The calculation puts the polymorph energy (0 for the lowest one) at 0 kJ/mol of formula units. For the density of states at the Fermi level, the calculation gives 0.28 states/eV/atom. The calculation puts the total magnetic moment at 0.0 μB per formula unit. As for the total energy: -1.961 eV/atom. The crystal system is cubic.

=====

# 3
# LaCu3P2

A relaxed structure of LaCu3P2 (PBE, the Alexandria database).

CIF file:
```
data_LaCu3P2
_space_group_name_H-M_alt 'C 1 2/m 1'
_space_group_IT_number 12
_cell_length_a 14.899
_cell_length_b 3.960
_cell_length_c 7.495
_cell_angle_alpha 90.00
_cell_angle_beta 116.39
_cell_angle_gamma 90.00
loop_
_space_group_symop_operation_xyz
'x,y,z'
'-x,-y,-z'
'-x,y,-z'
'x,-y,z'
'x+1/2,y+1/2,z'
'-x+1/2,-y+1/2,-z'
'-x+1/2,y+1/2,-z'
'x+1/2,-y+1/2,z'
loop_
_atom_site_label
_atom_site_fract_x
_atom_site_fract_y
_atom_site_fract_z
La1 0.138 0.000 0.046
Cu1 0.058 0.000 0.399
Cu2 0.101 0.500 0.655
Cu3 0.188 0.500 0.435
P1 0.016 0.500 0.217
P2 0.203 0.000 0.709
```

Properties
For the density of states at the Fermi level, the calculation gives 0.18 states/eV/atom. The calculation puts the total magnetic moment at 0.0 μB per formula unit. As for the total energy: -5.288 eV/atom. The crystal system is monoclinic. As for the formation energy: -615 meV per atom.

=====

# 4
# NbTePCl2

A relaxed structure of NbTePCl2 (PBE, the Alexandria database).

CIF file:
```
data_NbTePCl2
_space_group_name_H-M_alt 'P 4/m m m'
_space_group_IT_number 123
_space_group_name_Hall '-P 4 2'
_cell_length_a 4.719
_cell_length_b 4.719
_cell_length_c 5.323
_cell_angle_alpha 90.00
_cell_angle_beta 90.00
_cell_angle_gamma 90.00
loop_
_atom_site_label
_atom_site_fract_x
_atom_site_fract_y
_atom_site_fract_z
Nb1 0.000 0.000 0.000
Te1 0.500 0.500 0.500
P1 0.000 0.000 0.500
Cl1 0.000 0.500 0.000
```

Properties
Its uncorrected formation energy is -0.3 eV per formula unit. The calculation puts the polymorph energy (0 for the lowest one) at 0 kJ/mol of formula units. For the density of states at the Fermi level, the calculation gives 1.06 states/eV/atom. The calculation puts the total magnetic moment at 0.2 μB per formula unit. As for the total energy: -4.529 eV/atom. The crystal system is tetragonal.

=====

# 5
# CsTiSe3

A relaxed structure of CsTiSe3 (PBE, the Alexandria database).

CIF file:
```
data_CsTiSe3
_space_group_name_H-M_alt 'P n m a'
_space_group_IT_number 62
_cell_length_a 6.008
_cell_length_b 7.678
_cell_length_c 13.760
_cell_angle_alpha 90.00
_cell_angle_beta 90.00
_cell_angle_gamma 90.00
loop_
_space_group_symop_operation_xyz
'x,y,z'
'-x,-y,-z'
'-x+1/2,-y,z+1/2'
'x+1/2,y,-z+1/2'
'x+1/2,-y+1/2,-z+1/2'
'-x+1/2,y+1/2,z+1/2'
'-x,y+1/2,-z'
'x,-y+1/2,z'
loop_
_atom_site_label
_atom_site_fract_x
_atom_site_fract_y
_atom_site_fract_z
Cs1 0.238 0.250 0.085
Ti1 0.010 0.250 0.772
Se1 0.223 0.250 0.602
Se2 0.231 0.521 0.327
```

Properties
Its uncorrected formation energy is -5.3 eV per formula unit. The calculation puts the polymorph energy (0 for the lowest one) at 0 kJ/mol of formula units. For the density of states at the Fermi level, the calculation gives 0.68 states/eV/atom. The calculation puts the total magnetic moment at 0.0 μB per formula unit. As for the total energy: -4.893 eV/atom. The crystal system is orthorhombic.

=====

# 6
# InRuAu2

A relaxed structure of InRuAu2 (PBE, the Alexandria database).

CIF file:
```
data_InRuAu2
_space_group_name_H-M_alt 'F -4 3 m'
_space_group_IT_number 216
_space_group_name_Hall 'F -4 2 3'
_cell_length_a 6.557
_cell_length_b 6.557
_cell_length_c 6.557
_cell_angle_alpha 90.00
_cell_angle_beta 90.00
_cell_angle_gamma 90.00
loop_
_atom_site_label
_atom_site_fract_x
_atom_site_fract_y
_atom_site_fract_z
In1 0.000 0.000 0.000
Ru1 0.250 0.250 0.250
Au1 0.000 0.000 0.500
Au2 0.250 0.250 0.750
```

Properties
For the density of states at the Fermi level, the calculation gives 0.57 states/eV/atom. The calculation puts the total magnetic moment at 0.0 μB per formula unit. As for the total energy: -4.477 eV/atom. The crystal system is cubic. As for the formation energy: 165 meV per atom.

=====

# 7
# Tm2Ag2Pd3

A relaxed structure of Tm2Ag2Pd3 (PBE, the Alexandria database).

CIF file:
```
data_Tm2Ag2Pd3
_space_group_name_H-M_alt 'P -1'
_space_group_IT_number 2
_cell_length_a 4.276
_cell_length_b 5.177
_cell_length_c 7.068
_cell_angle_alpha 75.49
_cell_angle_beta 89.88
_cell_angle_gamma 65.64
loop_
_space_group_symop_operation_xyz
'x,y,z'
'-x,-y,-z'
loop_
_atom_site_label
_atom_site_fract_x
_atom_site_fract_y
_atom_site_fract_z
Tm1 0.120 0.261 0.285
Ag1 0.375 0.752 0.070
Pd1 0.176 0.148 0.696
Pd2 0.500 0.500 0.500
```

Properties
The calculation puts the polymorph energy (0 for the lowest one) at 20 kJ/mol of formula units. For the density of states at the Fermi level, the calculation gives 0.39 states/eV/atom. The calculation puts the total magnetic moment at 0.0 μB per formula unit. As for the total energy: -4.948 eV/atom. The crystal system is triclinic. As for the formation energy: -631 meV per atom.

=====

# 8
# NdSm6Co2

A relaxed structure of NdSm6Co2 (PBE, the Alexandria database).

CIF file:
```
data_NdSm6Co2
_space_group_name_H-M_alt 'I m m m'
_space_group_IT_number 71
_space_group_name_Hall '-I 2 2'
_cell_length_a 9.609
_cell_length_b 10.128
_cell_length_c 10.441
_cell_angle_alpha 90.00
_cell_angle_beta 90.00
_cell_angle_gamma 90.00
loop_
_atom_site_label
_atom_site_fract_x
_atom_site_fract_y
_atom_site_fract_z
Nd1 0.000 0.000 0.000
Nd2 0.000 0.500 0.000
Sm1 0.000 0.217 0.227
Sm2 0.196 0.195 0.500
Sm3 0.200 0.500 0.307
Co1 0.000 0.000 0.389
Co2 0.000 0.390 0.500
```

Properties
For the density of states at the Fermi level, the calculation gives 1.16 states/eV/atom. The calculation puts the total magnetic moment at 0.0 μB per formula unit. As for the total energy: -5.256 eV/atom. The crystal system is orthorhombic. As for the formation energy: -1 meV per atom.

=====

# 9
# Dy4GaAu3

A relaxed structure of Dy4GaAu3 (PBE, the Alexandria database).

CIF file:
```
data_Dy4GaAu3
_space_group_name_H-M_alt 'P m m 2'
_space_group_IT_number 25
_cell_length_a 3.711
_cell_length_b 4.655
_cell_length_c 11.103
_cell_angle_alpha 90.00
_cell_angle_beta 90.00
_cell_angle_gamma 90.00
loop_
_space_group_symop_operation_xyz
'x,y,z'
'-x,-y,z'
'-x,y,z'
'x,-y,z'
loop_
_atom_site_label
_atom_site_fract_x
_atom_site_fract_y
_atom_site_fract_z
Dy1 0.000 0.000 0.000
Dy2 0.000 0.500 0.279
Dy3 0.500 0.000 0.496
Dy4 0.500 0.500 0.783
Ga1 0.000 0.000 0.723
Au1 0.000 0.500 0.557
Au2 0.500 0.000 0.227
Au3 0.500 0.500 0.053
```

Properties
For the density of states at the Fermi level, the calculation gives 0.71 states/eV/atom. The calculation puts the total magnetic moment at 0.0 μB per formula unit. As for the total energy: -4.704 eV/atom. The crystal system is orthorhombic. As for the formation energy: -796 meV per atom.

=====

# 10
# KLi3Ce2S6

A relaxed structure of KLi3Ce2S6 (PBE, the Alexandria database).

CIF file:
```
data_KLi3Ce2S6
_space_group_name_H-M_alt 'C 1 2/m 1'
_space_group_IT_number 12
_cell_length_a 16.008
_cell_length_b 4.090
_cell_length_c 9.133
_cell_angle_alpha 90.00
_cell_angle_beta 99.11
_cell_angle_gamma 90.00
loop_
_space_group_symop_operation_xyz
'x,y,z'
'-x,-y,-z'
'-x,y,-z'
'x,-y,z'
'x+1/2,y+1/2,z'
'-x+1/2,-y+1/2,-z'
'-x+1/2,y+1/2,-z'
'x+1/2,-y+1/2,z'
loop_
_atom_site_label
_atom_site_fract_x
_atom_site_fract_y
_atom_site_fract_z
K1 0.000 0.000 0.000
Li1 0.000 0.000 0.500
Li2 0.152 0.500 0.723
Ce1 0.164 0.500 0.333
S1 0.000 0.500 0.280
S2 0.162 0.000 0.549
S3 0.197 0.000 0.161
```

Properties
Its uncorrected formation energy is -18.2 eV per formula unit. The calculation puts the total magnetic moment at 0.0 μB per formula unit. As for the total energy: -5.140 eV/atom. The crystal system is monoclinic.

=====

# 11
# Li5Mg6Zn

A relaxed structure of Li5Mg6Zn (PBE, the Alexandria database).

CIF file:
```
data_Li5Mg6Zn
_space_group_name_H-M_alt 'C 1 2/m 1'
_space_group_IT_number 12
_cell_length_a 14.976
_cell_length_b 6.836
_cell_length_c 4.802
_cell_angle_alpha 90.00
_cell_angle_beta 108.28
_cell_angle_gamma 90.00
loop_
_space_group_symop_operation_xyz
'x,y,z'
'-x,-y,-z'
'-x,y,-z'
'x,-y,z'
'x+1/2,y+1/2,z'
'-x+1/2,-y+1/2,-z'
'-x+1/2,y+1/2,-z'
'x+1/2,-y+1/2,z'
loop_
_atom_site_label
_atom_site_fract_x
_atom_site_fract_y
_atom_site_fract_z
Li1 0.000 0.000 0.000
Li2 0.166 0.000 0.666
Li3 0.170 0.500 0.670
Mg1 0.000 0.257 0.500
Mg2 0.164 0.253 0.164
Zn1 0.000 0.500 0.000
```

Properties
For the density of states at the Fermi level, the calculation gives 0.38 states/eV/atom. The calculation puts the total magnetic moment at 0.0 μB per formula unit. As for the total energy: -1.780 eV/atom. The crystal system is monoclinic. As for the formation energy: -80 meV per atom.